The following is a PBE calculation of crystalline RbCo at its relaxed geometry, from OQMD via LeMat-Bulk.

Geometry as POSCAR:
```
RbCo
1.0
2.195 1.267 4.844
-2.195 1.267 4.844
0.000 -2.535 4.844
Rb Co
1 1
Direct
0.000 0.000 0.000 Rb
0.500 0.500 0.500 Co
```

The space-group type is R-3m, No. 166. The final energy is -2.05 eV/atom. Its spin magnetization is 0.23 μB per atom. The crystal system is trigonal.